(1)
The following is a DFT calculation (PBE) of crystalline LiSmSnPd at its relaxed geometry.

Cell: 4.8253 4.8253 4.8253 Å, 60.00 60.00 60.00°
Atoms (fractional coordinates):
Pd  0.5000  0.5000  0.5000
Sn  0.2500  0.2500  0.2500
Sm  0.7500  0.7500  0.7500
Li  0.0000  0.0000  0.0000

Summary:
Its space group is No. 216. The value obtained for the total energy is -0.1744 hartree per atom. As for the formation energy from the elements: -787 meV per atom.

=====

(2)
The following is a DFT calculation (PBE) of crystalline In2TcNiMo at its relaxed geometry.

Cell: 5.2006 4.4508 5.2006 Å, 90.00 90.00 90.00°
Last column: magnetic moment on the atom in μB.
Atoms (fractional coordinates):
Ni  0.0000  0.5000  0.0000  0.10
Mo  0.0000  0.0000  0.0000  0.45
Tc  0.5000  0.5000  0.5000  3.22
In  0.0000  0.0000  0.5000  -0.03
In  0.5000  0.0000  0.0000  -0.01

Summary:
Its space group is No. 123. The value obtained for the total energy is -0.1834 hartree per atom. As for the formation energy from the elements: 1500 meV per atom.

=====

(3)
The following is a DFT calculation (PBE) of crystalline AcLa15Sm4 at its relaxed geometry.

Cell: 5.2620 5.2620 26.3805 Å, 90.00 90.00 90.00°
Atoms (fractional coordinates):
Ac  0.0000  0.0000  0.0000
La  0.5000  0.5000  0.0000
La  0.5000  0.5000  0.2040
La  0.5000  0.5000  0.4011
La  0.5000  0.5000  0.5989
La  0.5000  0.5000  0.7960
La  0.5000  0.0000  0.1040
La  0.5000  0.0000  0.3020
La  0.5000  0.0000  0.5000
La  0.5000  0.0000  0.6980
La  0.5000  0.0000  0.8960
La  0.0000  0.5000  0.1040
La  0.0000  0.5000  0.3020
La  0.0000  0.5000  0.5000
La  0.0000  0.5000  0.6980
La  0.0000  0.5000  0.8960
Sm  0.0000  0.0000  0.2031
Sm  0.0000  0.0000  0.4011
Sm  0.0000  0.0000  0.5989
Sm  0.0000  0.0000  0.7969

Summary:
Its space group is No. 123. The value obtained for the total energy is -0.1775 hartree per atom. As for the formation energy from the elements: 15 meV per atom.

=====

(4)
The following is a DFT calculation (PBE) of crystalline PmYIrRh at its relaxed geometry.

Cell: 4.9190 4.9190 4.9190 Å, 60.00 60.00 60.00°
Atoms (fractional coordinates):
Y  0.7500  0.7500  0.7500
Ir  0.0000  0.0000  0.0000
Rh  0.5000  0.5000  0.5000
Pm  0.2500  0.2500  0.2500

Summary:
Its space group is No. 216. The value obtained for the total energy is -0.2795 hartree per atom. As for the formation energy from the elements: -748 meV per atom.